Material: KCr2Tc
Method: DFT, PBE
State: relaxed

a = 2.891 Å, b = 3.769 Å, c = 7.612 Å
α = 90.00°, β = 95.97°, γ = 90.00°
Space group P2/m (No. 10)
Inequivalent atoms, fractional coordinates:
K 0.000 0.000 0.000 x1
Cr 0.046 0.500 0.631 x2
Tc 0.500 0.000 0.500 x1

DFT total energy = -6.89 eV/atom
energy relative to the lowest polymorph listed for this composition = 0.001 eV/atom

Material: TmMnI6
Method: DFT, PBE
State: relaxed

a = 7.318 Å, b = 13.692 Å, c = 7.328 Å
α = 90.00°, β = 111.09°, γ = 90.00°
Space group C2/m (No. 12)
Inequivalent atoms, fractional coordinates:
Tm 0.000 0.000 0.000 x2
Mn 0.000 0.500 0.500 x2
I 0.224 0.355 0.727 x8
I 0.242 0.000 0.754 x4

DFT total energy = -3.64 eV/atom
formation energy (no corrections) = -6.14 eV/f.u.

Material: ZrSiAs2
Method: DFT, PBE
State: relaxed

a = 4.006 Å, b = 4.006 Å, c = 9.205 Å
α = 90.00°, β = 90.00°, γ = 90.00°
Space group I4/mmm (No. 139)
Inequivalent atoms, fractional coordinates:
Zr 0.000 0.000 0.000 x2
Si 0.000 0.000 0.500 x2
As 0.000 0.500 0.250 x4

DFT total energy = -6.00 eV/atom
energy relative to the lowest polymorph listed for this composition = 0.450 eV/atom
formation energy (no corrections) = -0.73 eV/f.u.

Material: NbSbOF2
Method: DFT, PBE
State: relaxed

a = 4.452 Å, b = 4.452 Å, c = 3.932 Å
α = 90.00°, β = 90.00°, γ = 90.00°
Space group P4/mmm (No. 123)
Inequivalent atoms, fractional coordinates:
Nb 0.000 0.000 0.000 x1
Sb 0.500 0.500 0.500 x1
O 0.000 0.000 0.500 x1
F 0.000 0.500 0.000 x2

DFT total energy = -5.98 eV/atom
energy relative to the lowest polymorph listed for this composition = 0.000 eV/atom
formation energy (no corrections) = -6.98 eV/f.u.

Material: Ca2ErN2Cl2
Method: DFT, PBE
State: relaxed

a = 4.382 Å, b = 4.382 Å, c = 14.398 Å
α = 90.00°, β = 90.00°, γ = 90.00°
Space group I4/mmm (No. 139)
Inequivalent atoms, fractional coordinates:
Ca 0.000 0.000 0.108 x4
Er 0.000 0.000 0.500 x2
N 0.000 0.500 0.000 x4
Cl 0.000 0.000 0.310 x4

DFT total energy = -5.60 eV/atom
formation energy (no corrections) = -10.30 eV/f.u.

Material: EuScAg2
Method: DFT, PBE
State: relaxed

a = 7.240 Å, b = 7.240 Å, c = 7.240 Å
α = 90.00°, β = 90.00°, γ = 90.00°
Space group Fm-3m (No. 225)
Inequivalent atoms, fractional coordinates:
Eu 0.000 0.000 0.000 x4
Sc 0.000 0.000 0.500 x4
Ag 0.250 0.250 0.250 x8

DFT total energy = -5.76 eV/atom
energy relative to the lowest polymorph listed for this composition = 0.081 eV/atom

Material: Ni2MoAs2
Method: DFT, PBE
State: relaxed

a = 6.814 Å, b = 6.814 Å, c = 2.998 Å
α = 90.00°, β = 90.00°, γ = 90.00°
Space group P4/mbm (No. 127)
Inequivalent atoms, fractional coordinates:
Ni 0.138 0.362 0.000 x4
Mo 0.000 0.000 0.500 x2
As 0.158 0.658 0.500 x4

DFT total energy = -6.39 eV/atom

Material: CaLaRu
Method: DFT, PBE
State: relaxed

a = 6.802 Å, b = 6.802 Å, c = 6.802 Å
α = 90.00°, β = 90.00°, γ = 90.00°
Space group F-43m (No. 216)
Inequivalent atoms, fractional coordinates:
Ca 0.000 0.000 0.000 x4
La 0.250 0.250 0.750 x4
Ru 0.000 0.000 0.500 x4

DFT total energy = -4.72 eV/atom
energy relative to the lowest polymorph listed for this composition = 0.747 eV/atom

What is the DFT total energy in the second record?
-3.64 eV/atom

What is the formula in the first record?
KCr2Tc

DFT total energy of number 5 (Ca2ErN2Cl2)?
-5.60 eV/atom